1.
Density functional theory data (PBE) for TaHgPd2 after structural relaxation.

Structure (POSCAR):
```
TaHgPd2
1.0
3.324 0.000 0.000
0.000 3.324 0.000
0.000 0.000 6.421
Ta Hg Pd
1 1 2
Direct
0.000 0.000 0.000
0.000 0.000 0.500
0.500 0.500 0.218
0.500 0.500 0.782
```

Summary:
Total energy in eV per atom: -5.8016
Symmetry: P4/mmm
DFT formation energy in eV per atom: -0.167

***

2.
Density functional theory data (PBE) for TaHgPd6 after structural relaxation.

Structure (POSCAR):
```
TaHgPd6
1.0
4.005 0.000 0.000
0.000 4.005 0.000
0.000 0.000 8.055
Ta Hg Pd
1 1 6
Direct
0.000 0.000 0.000
0.000 0.000 0.500
0.000 0.500 0.235
0.000 0.500 0.765
0.500 0.000 0.235
0.500 0.000 0.765
0.500 0.500 0.000
0.500 0.500 0.500
```

Summary:
Total energy in eV per atom: -5.7974
Symmetry: P4/mmm
DFT formation energy in eV per atom: -0.383